(1)
BaPAu | PBE | optimized geometry

Cell: 4.426 4.671 7.690 Å, 90.00 90.00 90.00°
Space group Pmmm (No. 47)
Symmetry-distinct sites (fractional):
Ba 0.000 0.000 0.000 x1
Ba 0.500 0.000 0.500 x1
P 0.000 0.500 0.349 x2
Au 0.500 0.500 0.180 x2

Properties
For the formation energy, the calculation gives -797 meV per atom. The calculation puts the raw total energy at -4.334 eV per atom.

---

(2)
CeLuBe4 | PBE | optimized geometry

Cell: 7.044 7.044 7.044 Å, 90.00 90.00 90.00°
Space group F-43m (No. 216)
Symmetry-distinct sites (fractional):
Ce 0.000 0.000 0.000 x4
Lu 0.250 0.250 0.750 x4
Be 0.124 0.124 0.376 x16

Properties
For the formation energy, the calculation gives 84 meV per atom. The calculation puts the raw total energy at -4.143 eV per atom.

---

(3)
Dy3AuS6 | PBE | optimized geometry

Cell: 10.445 13.656 6.551 Å, 90.00 90.00 90.00°
Space group Cmc2_1 (No. 36)
Symmetry-distinct sites (fractional):
Dy 0.000 0.092 0.000 x4
Dy 0.182 0.404 0.900 x8
Au 0.000 0.255 0.414 x4
S 0.000 0.265 0.768 x4
S 0.000 0.496 0.139 x4
S 0.165 0.032 0.703 x8
S 0.170 0.234 0.174 x8

Properties
The calculation puts the formation energy (no corrections) at -1415 meV/atom. The calculation puts the raw total energy at -5.599 eV per atom.

---

(4)
Ce8Bi3Te4 | PBE | optimized geometry

Cell: 12.747 12.751 8.990 Å, 90.00 134.80 90.00°
Space group C2/m (No. 12)
Symmetry-distinct sites (fractional):
Ce 0.000 0.248 0.000 x4
Ce 0.000 0.252 0.500 x4
Ce 0.249 0.000 0.004 x4
Ce 0.250 0.000 0.497 x4
Bi 0.000 0.000 0.500 x2
Bi 0.250 0.250 0.000 x4
Te 0.000 0.500 0.000 x2
Te 0.000 0.500 0.500 x2
Te 0.250 0.250 0.500 x4

Properties
The calculation puts the formation energy (no corrections) at -944 meV/atom. The calculation puts the raw total energy at -5.723 eV per atom.